Entry 1:
Entry from Alexandria: BaScBr2 at its PBEsol-relaxed geometry (SCAN).

Computed properties:
N(E_F): 2.68 states/eV/f.u.
Energy relative to the lowest polymorph listed for this composition: 0.0 meV per atom
Space group: Pmmm
E: -97.62 eV/cell

Structure (POSCAR):
```
BaScBr2
1.0
3.858 0.000 0.000
0.000 4.341 0.000
0.000 0.000 6.823
Ba Sc Br
1 1 2
Direct
0.000 0.000 0.000
0.500 0.000 0.500
0.500 0.500 0.247
0.500 0.500 0.753
```

Entry 2:
Entry from Alexandria: BaScBr at its PBEsol-relaxed geometry (SCAN).

Computed properties:
N(E_F): 2.28 states/eV/f.u.
Energy relative to the lowest polymorph listed for this composition: 302.5 meV per atom
Space group: F-43m
E: -74.11 eV/cell

Structure (POSCAR):
```
BaScBr
1.0
0.000 3.700 3.700
3.700 0.000 3.700
3.700 3.700 0.000
Ba Sc Br
1 1 1
Direct
0.000 0.000 0.000
0.500 0.500 0.500
0.250 0.250 0.250
```

Entry 3:
Entry from Alexandria: BaScBr at its PBEsol-relaxed geometry (SCAN).

Computed properties:
N(E_F): 1.78 states/eV/f.u.
Energy relative to the lowest polymorph listed for this composition: 0.0 meV per atom
Space group: I4mm
E: -75.01 eV/cell

Structure (POSCAR):
```
BaScBr
1.0
-1.803 1.803 6.859
1.803 -1.803 6.859
1.803 1.803 -6.859
Ba Sc Br
1 1 1
Direct
0.000 0.000 0.000
0.298 0.298 0.000
0.682 0.682 0.000
```

Entry 4:
Entry from Alexandria: BaSeBr2 at its PBEsol-relaxed geometry (SCAN).

Computed properties:
N(E_F): 0.93 states/eV/f.u.
Energy relative to the lowest polymorph listed for this composition: 0.0 meV per atom
Space group: Imm2
E: -103.89 eV/cell

Structure (POSCAR):
```
BaSeBr2
1.0
-2.107 2.165 6.965
2.107 -2.165 6.965
2.107 2.165 -6.965
Ba Se Br
1 1 2
Direct
0.000 0.000 0.000
0.821 0.321 0.500
0.322 0.822 0.500
0.581 0.581 0.000
```

Entry 5:
Entry from Alexandria: BaSe2Br at its PBEsol-relaxed geometry (SCAN).

Computed properties:
N(E_F): 2.80 states/eV/f.u.
Space group: I-4m2
E: -102.47 eV/cell

Structure (POSCAR):
```
BaSe2Br
1.0
-2.279 2.279 5.118
2.279 -2.279 5.118
2.279 2.279 -5.118
Ba Se Br
1 2 1
Direct
0.000 0.000 0.000
0.250 0.750 0.500
0.500 0.500 0.000
0.750 0.250 0.500
```

Entry 6:
Entry from Alexandria: BaSeBr2 at its PBEsol-relaxed geometry (SCAN).

Computed properties:
N(E_F): 3.41 states/eV/f.u.
Energy relative to the lowest polymorph listed for this composition: 91.8 meV per atom
Space group: Fm-3m
E: -103.52 eV/cell

Structure (POSCAR):
```
BaSeBr2
1.0
0.000 3.897 3.897
3.897 0.000 3.897
3.897 3.897 0.000
Ba Se Br
1 1 2
Direct
0.000 0.000 0.000
0.500 0.500 0.500
0.250 0.250 0.250
0.750 0.750 0.750
```

Entry 7:
Entry from Alexandria: BaSrSe2Br at its PBEsol-relaxed geometry (SCAN).

Computed properties:
N(E_F): 1.67 states/eV/f.u.
Space group: P4/mmm
E: -129.48 eV/cell

Structure (POSCAR):
```
BaSrSe2Br
1.0
5.649 0.000 0.000
0.000 5.649 0.000
0.000 0.000 5.681
Ba Sr Se Br
1 1 2 1
Direct
0.000 0.000 0.000
0.500 0.500 0.500
0.000 0.500 0.500
0.500 0.000 0.500
0.500 0.500 0.000
```

Entry 8:
Entry from Alexandria: BaTiSe2Br at its PBEsol-relaxed geometry (SCAN).

Computed properties:
N(E_F): 1.26 states/eV/f.u.
Space group: P4/mmm
E: -115.48 eV/cell

Structure (POSCAR):
```
BaTiSe2Br
1.0
5.861 0.000 0.000
0.000 5.861 0.000
0.000 0.000 5.877
Ba Ti Se Br
1 1 2 1
Direct
0.000 0.000 0.000
0.500 0.500 0.500
0.000 0.500 0.000
0.500 0.000 0.000
0.000 0.000 0.500
```

Entry 9:
Entry from Alexandria: BaTlSe2Br at its PBEsol-relaxed geometry (SCAN).

Computed properties:
N(E_F): 2.62 states/eV/f.u.
Space group: P4/mmm
E: -174.63 eV/cell

Structure (POSCAR):
```
BaTlSe2Br
1.0
5.198 0.000 0.000
0.000 5.198 0.000
0.000 0.000 6.901
Ba Tl Se Br
1 1 2 1
Direct
0.000 0.000 0.000
0.000 0.000 0.500
0.000 0.500 0.500
0.500 0.000 0.500
0.500 0.500 0.000
```

Entry 10:
Entry from Alexandria: BaSi4Br at its PBEsol-relaxed geometry (SCAN).

Computed properties:
N(E_F): 1.65 states/eV/f.u.
Space group: F-43m
E: -97.91 eV/cell

Structure (POSCAR):
```
BaSi4Br
1.0
0.000 3.917 3.917
3.917 0.000 3.917
3.917 3.917 0.000
Ba Si Br
1 4 1
Direct
0.000 0.000 0.000
0.131 0.623 0.623
0.623 0.131 0.623
0.623 0.623 0.131
0.623 0.623 0.623
0.250 0.250 0.250
```

Entry 11:
Entry from Alexandria: BaSiBr at its PBEsol-relaxed geometry (SCAN).

Computed properties:
N(E_F): 1.77 states/eV/f.u.
Space group: F-43m
E: -69.72 eV/cell

Structure (POSCAR):
```
BaSiBr
1.0
0.000 3.683 3.683
3.683 0.000 3.683
3.683 3.683 0.000
Ba Si Br
1 1 1
Direct
0.000 0.000 0.000
0.500 0.500 0.500
0.250 0.250 0.250
```

Entry 12:
Entry from Alexandria: BaSrBr at its PBEsol-relaxed geometry (SCAN).

Computed properties:
N(E_F): 1.81 states/eV/f.u.
Space group: Fmm2
E: -84.45 eV/cell

Structure (POSCAR):
```
BaSrBr
1.0
0.000 3.474 8.290
2.205 0.000 8.290
2.205 3.474 0.000
Ba Sr Br
1 1 1
Direct
0.000 0.000 0.000
0.291 0.291 0.709
0.654 0.654 0.346
```

Values for energy relative to the elements, uncorrected, eV per atom, ordered as above
-1.2296 -0.2869 -0.5894 -1.3346 -0.8270 -1.2428 -1.6084 -0.0577 -0.6213 0.1933 -0.2322 -1.0551